# LaPmDy5Er2

Crystalline LaPmDy5Er2 at its relaxed geometry (PBE-GGA, the Alexandria database).

a = 5.607 Å, b = 10.225 Å, c = 10.790 Å
α = 90.00°, β = 90.00°, γ = 105.91°
Positions (direct):
La 0.793 0.586 0.507
La 0.207 0.414 0.007
Pm 0.583 0.165 0.954
Pm 0.417 0.835 0.454
Dy 0.395 0.791 0.026
Dy 0.715 0.430 0.803
Dy 0.477 0.954 0.738
Dy 0.297 0.594 0.705
Dy 0.981 0.963 0.531
Dy 0.605 0.209 0.526
Dy 0.285 0.570 0.303
Dy 0.523 0.046 0.238
Dy 0.703 0.406 0.205
Dy 0.019 0.037 0.031
Er 0.885 0.770 0.822
Er 0.107 0.213 0.739
Er 0.115 0.230 0.322
Er 0.893 0.787 0.239

## Properties
- Electronic total energy: -4.49 eV per atom
- DOS at the Fermi energy: 28.370 states/eV per cell
- DFT formation energy: 0.159 eV/atom
- Volume: 33.05 Å³ per atom